# TbYSe2 (GGA-PBE, optimized geometry)
# volume: 293.69 Å³/cell
# E above lowest polymorph: 4.0 meV per atom
# formation energy without anion corrections: -1765 meV per atom
# size of the total moment: 0.00 Bohr magnetons per cell
data_TbYSe2
_chemical_formula_sum 'Tb3 Y3 Se6'
_cell_length_a 3.9871
_cell_length_b 3.9871
_cell_length_c 21.3332
_cell_angle_alpha 90.00
_cell_angle_beta 90.00
_cell_angle_gamma 120.00
_symmetry_space_group_name_H-M 'R 3 m'
_symmetry_Int_Tables_number 160
_symmetry_space_group_name_Hall 'R 3 -2"'
loop_
_atom_site_label
_atom_site_fract_x
_atom_site_fract_y
_atom_site_fract_z
Tb1 0.0000 0.0000 0.0000
Y1 0.0000 0.0000 0.1770
Se1 0.0000 0.0000 0.5867
Se2 0.0000 0.0000 0.7565